# 1
# ZrRe2Cl GGA-PBE optimized geometry
# E_form (uncorrected) ... -0.12 eV per atom
data_ZrRe2Cl
_chemical_formula_sum 'Zr2 Re4 Cl2'
_space_group_name_H-M_alt 'A m m 2'
_space_group_IT_number 38
_space_group_name_Hall 'A 2 -2'
_cell_length_a 3.041
_cell_length_b 3.054
_cell_length_c 15.315
_cell_angle_alpha 90.00
_cell_angle_beta 90.00
_cell_angle_gamma 90.00
loop_
_atom_site_label
_atom_site_type_symbol
_atom_site_fract_x
_atom_site_fract_y
_atom_site_fract_z
_atom_site_occupancy
Zr1 Zr 0.000 0.000 0.000 1
Re1 Re 0.000 0.000 0.227 1
Re2 Re 0.500 0.000 0.635 1
Cl1 Cl 0.500 0.000 0.381 1



# 2
# BaMgTl3 GGA-PBE optimized geometry
# DFT formation energy ... -215 meV per atom
data_BaMgTl3
_chemical_formula_sum 'Ba2 Mg2 Tl6'
_space_group_name_H-M_alt 'P 63/m m c'
_space_group_IT_number 194
_space_group_name_Hall '-P 6c 2c'
_cell_length_a 7.6387
_cell_length_b 7.6387
_cell_length_c 6.3703
_cell_angle_alpha 90.00
_cell_angle_beta 90.00
_cell_angle_gamma 120.00
loop_
_atom_site_label
_atom_site_type_symbol
_atom_site_fract_x
_atom_site_fract_y
_atom_site_fract_z
_atom_site_occupancy
Ba1 Ba 0.3333 0.6667 0.2500 1
Mg1 Mg 0.0000 0.0000 0.0000 1
Tl1 Tl 0.1903 0.3805 0.7500 1



| no. | M_tot (μB per atom) | DOS(E_F) (states/eV/cell) |
| --- | --- | --- |
| 1 | 0.00 | 6.02 |
| 2 | 0.00 | 4.56 |